The following is a DFT calculation (PBE) of LiCd2Se after structural relaxation.

a = 9.2775 Å, b = 9.2775 Å, c = 7.0059 Å
α = 48.54°, β = 48.54°, γ = 90.00°
Element x y z (fractional)
Cd  0.3750  0.3001  0.7500
Cd  0.0501  0.6250  0.2500
Cd  0.8750  0.9499  0.7500
Cd  0.6999  0.1250  0.2500
Se  0.0000  0.0000  0.0000
Se  0.7500  0.2500  0.5000
Li  0.5000  0.5000  0.0000
Li  0.2500  0.7500  0.5000

Computed properties:
- crystal system = tetragonal
- formation energy without anion corrections (eV per atom) = -0.376
- SG = I-42d (122)



The following is a DFT calculation (PBE) of Lu2HfSe after structural relaxation.

a = 3.4208 Å, b = 3.4208 Å, c = 8.1415 Å
α = 90.00°, β = 90.00°, γ = 90.00°
Element x y z (fractional)
Hf  0.5000  0.5000  0.5000
Lu  0.0000  0.0000  0.2254
Lu  0.0000  0.0000  0.7746
Se  0.5000  0.5000  0.0000

Computed properties:
- crystal system = tetragonal
- formation energy without anion corrections (eV per atom) = -0.605
- SG = P4/mmm (123)



The following is a DFT calculation (PBE) of LiTlPtAu2 after structural relaxation.

a = 5.2111 Å, b = 4.6034 Å, c = 5.2111 Å
α = 90.00°, β = 90.00°, γ = 90.00°
Element x y z (fractional)
Pt  0.0000  0.0000  0.0000
Tl  0.5000  0.5000  0.5000
Li  0.0000  0.5000  0.0000
Au  0.0000  0.0000  0.5000
Au  0.5000  0.0000  0.0000

Computed properties:
- E_form (eV/atom) = 0.0652
- crystal system = tetragonal
- SG = P4/mmm (123)



no.,calculated total energy (eV per atom)
1,-2.184
2,-6.225
3,-3.310